1.
Hf2GaS: optimized geometry, GGA-PBE.

Values from the calculation:
DOS at the Fermi energy: 2.90 states/eV per cell
formation energy (no corrections): -746 meV/atom
relative energy among the computed polymorphs: 0.049 eV per atom

```
Hf2GaS
1.0
-2.9840 -1.0851 -1.9920
-0.7208 -3.6497 -0.4587
-4.6450 -1.5445 4.2728
Ga Hf S
1 2 1
Direct
0.5000 0.5000 0.5000
0.2535 0.2535 0.2394
0.7465 0.7465 0.7606
0.0000 0.0000 0.0000
```

---

2.
Hf6Ga3S: optimized geometry, GGA-PBE.

Values from the calculation:
DOS at the Fermi energy: 13.28 states/eV per cell
formation energy (no corrections): -498 meV/atom

```
Hf6Ga3S
1.0
6.1013 0.0000 0.0671
0.0000 7.2736 0.0000
0.1678 0.0000 8.9543
S Hf Ga
2 12 6
Direct
0.5000 0.5000 0.5000
0.0000 0.0000 0.0000
0.8622 0.6572 0.5580
0.6378 0.1572 0.9420
0.3772 0.8187 0.4411
0.6228 0.1813 0.5589
0.1974 0.0503 0.7562
0.8772 0.6813 0.9411
0.8026 0.9497 0.2438
0.3026 0.5503 0.7438
0.3622 0.8428 0.0580
0.1228 0.3187 0.0589
0.6974 0.4497 0.2562
0.1378 0.3428 0.4420
0.5830 0.8645 0.7484
0.0830 0.6355 0.2484
0.9170 0.3645 0.7516
0.5000 0.5000 0.0000
0.0000 0.0000 0.5000
0.4170 0.1355 0.2516
```

---

3.
HfGaS3: optimized geometry, GGA-PBE.

Values from the calculation:
DOS at the Fermi energy: 4.66 states/eV per cell
formation energy (no corrections): -918 meV/atom
relative energy among the computed polymorphs: 0.000 eV per atom

```
HfGaS3
1.0
6.4073 0.0000 0.0000
0.0000 6.5579 0.0000
0.0000 -3.2789 5.6793
Hf S Ga
2 6 2
Direct
0.0000 0.0000 0.0000
0.5000 0.0000 0.0000
0.7500 0.3211 0.2835
0.2500 0.3211 0.0376
0.2500 0.7165 0.6789
0.7500 0.7165 0.0376
0.2500 0.9624 0.2835
0.7500 0.9624 0.6789
0.0000 0.6667 0.3333
0.5000 0.6667 0.3333
```

---

4.
HfGaS3: optimized geometry, GGA-PBE.

Values from the calculation:
DOS at the Fermi energy: 2.46 states/eV per cell
formation energy (no corrections): -703 meV/atom
relative energy among the computed polymorphs: 0.215 eV per atom

```
HfGaS3
1.0
-4.8703 0.1328 -0.9428
-0.8745 -2.5676 4.1556
-0.3766 4.2446 2.5433
Hf S Ga
1 3 1
Direct
0.0000 0.0000 0.0000
0.0000 0.5000 0.0000
0.5000 0.0000 0.0000
0.0000 0.0000 0.5000
0.5000 0.5000 0.5000
```

---

5.
HfGaS4: optimized geometry, GGA-PBE.

Values from the calculation:
DOS at the Fermi energy: 4.38 states/eV per cell
formation energy (no corrections): -812 meV/atom

```
HfGaS4
1.0
-0.2029 3.4469 0.8004
-0.3031 -3.1980 5.8475
6.0189 0.7825 -1.8437
Ga S Hf
1 4 1
Direct
0.0000 0.0000 0.0000
0.3867 0.7734 0.0674
0.6133 0.2266 0.9326
0.8753 0.7507 0.5596
0.1247 0.2493 0.4404
0.5000 0.0000 0.5000
```

---

6.
Hf2GaS: optimized geometry, GGA-PBE.

Values from the calculation:
DOS at the Fermi energy: 6.08 states/eV per cell
formation energy (no corrections): -76 meV/atom
relative energy among the computed polymorphs: 0.720 eV per atom

```
Hf2GaS
1.0
-1.4618 -0.3209 5.4615
-4.0031 -3.7905 -1.2941
1.3936 -6.6971 2.9153
S Hf Ga
2 4 2
Direct
0.5000 0.5000 0.0000
0.2500 0.7500 0.5000
0.3750 0.3913 0.7500
0.1413 0.6250 0.2500
0.6087 0.1250 0.2500
0.8750 0.8587 0.7500
0.7500 0.2500 0.5000
0.0000 0.0000 0.0000
```

---

> Which of these has the lowest formation energy (no corrections)?

number 3